The following is a PBE-GGA calculation of a relaxed structure of Np2P4Ir3Ru, from the Alexandria database.

```
Np2P4Ir3Ru
1.0
4.1484 0.0000 0.0000
0.0000 4.1484 0.0000
0.0000 0.0000 9.4680
Np P Ir Ru
2 4 3 1
Direct
0.0000 0.5000 0.2417
0.5000 0.0000 0.7583
0.0000 0.0000 0.0000
0.0000 0.5000 0.6352
0.5000 0.0000 0.3648
0.5000 0.5000 0.0000
0.0000 0.5000 0.8845
0.5000 0.0000 0.1155
0.5000 0.5000 0.5000
0.0000 0.0000 0.5000
```

Output
Its symmetry is P-4m2 (115). As for the formation energy: -0.710 eV/atom. Its total moment is 6.96 μB/cell.


The following is a PBE-GGA calculation of a relaxed structure of TbSm2AlC, from the Alexandria database.

```
TbSm2AlC
1.0
5.0180 0.0000 0.0000
0.0000 5.0180 0.0000
0.0000 0.0000 4.9172
Tb Sm Al C
1 2 1 1
Direct
0.0000 0.0000 0.0000
0.0000 0.5000 0.5000
0.5000 0.0000 0.5000
0.5000 0.5000 0.0000
0.0000 0.0000 0.5000
```

Output
Its symmetry is P4/mmm (123). As for the formation energy: -0.289 eV/atom. Its total moment is 0.00 μB/cell.


The following is a PBE-GGA calculation of a relaxed structure of Tb4Sm5Sc, from the Alexandria database.

```
Tb4Sm5Sc
1.0
8.6492 -1.7619 0.0000
8.6492 1.7619 0.0000
-0.2289 0.0000 10.9232
Tb Sm Sc
4 5 1
Direct
0.0240 0.0240 0.2420
0.3464 0.3464 0.2529
0.6536 0.6536 0.7471
0.9760 0.9760 0.7580
0.1702 0.1702 0.0500
0.1737 0.1737 0.4394
0.5000 0.5000 0.5000
0.8263 0.8263 0.5606
0.8298 0.8298 0.9500
0.5000 0.5000 0.0000
```

Output
Its symmetry is C2/m (12). As for the formation energy: 0.174 eV/atom. The value obtained for the energy above the most stable polymorph in this dataset is 0 meV per atom. Its total moment is 0.00 μB/cell.


The following is a PBE-GGA calculation of a relaxed structure of TePd3Pb, from the Alexandria database.

```
TePd3Pb
1.0
4.9966 0.0000 0.0000
0.0000 4.9966 0.0000
0.0000 0.0000 4.9966
Te Pd Pb
1 3 1
Direct
0.0000 0.0000 0.0000
0.0000 0.0000 0.5000
0.0000 0.5000 0.0000
0.5000 0.0000 0.0000
0.5000 0.5000 0.5000
```

Output
Its symmetry is Pm-3m (221). The uncorrected formation energy is 0.05 eV/atom. The value obtained for the energy above the most stable polymorph in this dataset is 326 meV per atom. Its total moment is 0.00 μB/cell.


The following is a PBE-GGA calculation of a relaxed structure of Ta2FeNi, from the Alexandria database.

```
Ta2FeNi
1.0
3.1632 0.0000 0.0000
0.0000 3.1632 0.0000
0.0000 0.0000 5.8672
Ta Fe Ni
2 1 1
Direct
0.0000 0.0000 0.0000
0.5000 0.5000 0.3108
0.0000 0.0000 0.5343
0.5000 0.5000 0.7742
```

Output
Its symmetry is P4mm (99). As for the formation energy: -0.103 eV/atom. Its total moment is 1.33 μB/cell.


The following is a PBE-GGA calculation of a relaxed structure of InPb2, from the Alexandria database.

```
InPb2
1.0
6.5960 0.0000 0.0000
-3.2980 5.7123 0.0000
0.0000 0.0000 10.4463
In Pb
4 8
Direct
0.3333 0.6667 0.0770
0.3333 0.6667 0.4230
0.6667 0.3333 0.5770
0.6667 0.3333 0.9230
0.0000 0.0000 0.0000
0.0000 0.0000 0.5000
0.1713 0.3427 0.7500
0.1713 0.8287 0.7500
0.3427 0.1713 0.2500
0.6573 0.8287 0.7500
0.8287 0.1713 0.2500
0.8287 0.6573 0.2500
```

Output
Its symmetry is P6_3/mmc (194). As for the formation energy: 0.120 eV/atom. Its total moment is 0.00 μB/cell.


The following is a PBE-GGA calculation of a relaxed structure of LuCdNi, from the Alexandria database.

```
LuCdNi
1.0
0.0000 3.1806 3.1806
3.1806 0.0000 3.1806
3.1806 3.1806 0.0000
Lu Cd Ni
1 1 1
Direct
0.0000 0.0000 0.0000
0.5000 0.5000 0.5000
0.2500 0.2500 0.2500
```

Output
Its symmetry is F-43m (216). As for the formation energy: -0.230 eV/atom. Its total moment is 0.00 μB/cell.


The following is a PBE-GGA calculation of a relaxed structure of MnTl3Se3, from the Alexandria database.

```
MnTl3Se3
1.0
8.1119 0.0000 0.0000
0.0000 13.1346 0.0000
-6.5634 0.0000 7.9721
Mn Tl Se
4 12 12
Direct
0.0651 0.0579 0.1573
0.0651 0.4421 0.6573
0.9349 0.5579 0.3427
0.9349 0.9421 0.8427
0.0821 0.6645 0.9451
0.0821 0.8355 0.4451
0.3993 0.1459 0.0118
0.3993 0.3541 0.5118
0.4113 0.0818 0.6289
0.4113 0.4182 0.1289
0.5887 0.5818 0.8711
0.5887 0.9182 0.3711
0.6007 0.6459 0.4882
0.6007 0.8541 0.9882
0.9179 0.1645 0.5549
0.9179 0.3355 0.0549
0.0938 0.6240 0.6221
0.0938 0.8760 0.1221
0.1410 0.5495 0.2510
0.1410 0.9505 0.7510
0.4147 0.1396 0.3345
0.4147 0.3604 0.8345
0.5853 0.6396 0.1655
0.5853 0.8604 0.6655
0.8590 0.0495 0.2490
0.8590 0.4505 0.7490
0.9062 0.1240 0.8779
0.9062 0.3760 0.3779
```

Output
Its symmetry is P2_1/c (14). The uncorrected formation energy is -0.37 eV/atom. The value obtained for the energy above the most stable polymorph in this dataset is 0 meV per atom. Its total moment is 16.00 μB/cell.


- total moment of number 7 (LuCdNi)?
  0.00 μB/cell


Please write out number 4 again, unchanged.
The following is a PBE-GGA calculation of a relaxed structure of TePd3Pb, from the Alexandria database.

```
TePd3Pb
1.0
4.9966 0.0000 0.0000
0.0000 4.9966 0.0000
0.0000 0.0000 4.9966
Te Pd Pb
1 3 1
Direct
0.0000 0.0000 0.0000
0.0000 0.0000 0.5000
0.0000 0.5000 0.0000
0.5000 0.0000 0.0000
0.5000 0.5000 0.5000
```

Output
Its symmetry is Pm-3m (221). The uncorrected formation energy is 0.05 eV/atom. The value obtained for the energy above the most stable polymorph in this dataset is 326 meV per atom. Its total moment is 0.00 μB/cell.